(1)
VASP calculation (PBE) on an optimized crystal structure of LiReRh2.

Lattice parameters (Å, degrees): 2.7725 4.5527 9.1826 90.00 90.00 90.00
Space group Cmm2 (No. 35)
Inequivalent atoms, fractional coordinates:
Li 0.0000 0.0000 0.0000 x2
Re 0.0000 0.5000 0.7369 x2
Rh 0.0000 0.0000 0.4934 x2
Rh 0.0000 0.5000 0.2366 x2

calculated total energy = -7.092 eV per atom
Fermi-level density of states = 9.93 states/eV/cell
ΔH_f (0 K) = 0.174 eV per atom

***

(2)
VASP calculation (PBE) on an optimized crystal structure of KBaAlCd2.

Lattice parameters (Å, degrees): 5.9227 5.9227 5.9598 90.00 90.00 90.00
Space group P4/mmm (No. 123)
Inequivalent atoms, fractional coordinates:
K 0.0000 0.0000 0.0000 x1
Ba 0.5000 0.5000 0.5000 x1
Al 0.0000 0.0000 0.5000 x1
Cd 0.0000 0.5000 0.0000 x2

calculated total energy = -1.213 eV per atom
Fermi-level density of states = 6.19 states/eV/cell
ΔH_f (0 K) = 0.506 eV per atom